# LaCoHg2 (PBE, relaxed)
data_LaCoHg2
_space_group_name_H-M_alt 'P m m m'
_space_group_IT_number 47
_cell_length_a 3.462
_cell_length_b 3.480
_cell_length_c 7.329
_cell_angle_alpha 90.00
_cell_angle_beta 90.00
_cell_angle_gamma 90.00
loop_
_space_group_symop_operation_xyz
'x,y,z'
'-x,-y,-z'
'-x,-y,z'
'x,y,-z'
'x,-y,-z'
'-x,y,z'
'-x,y,-z'
'x,-y,z'
loop_
_atom_site_label
_atom_site_type_symbol
_atom_site_fract_x
_atom_site_fract_y
_atom_site_fract_z
La1 La 0.000 0.000 0.000
Co1 Co 0.000 0.000 0.500
Hg1 Hg 0.500 0.500 0.304
# Formation energy from the elements: 0.049 eV/atom
# DOS(E_F): 4.42 states/eV/f.u.
# E: -3.1101 eV/atom